Compound: Rb2CoOsO6
Source: OQMD
Functional: GGA+U
Structure: optimized geometry

Structure (extended XYZ):
```
10
Lattice="2.779 1.538 4.643 -2.157 3.930 3.397 -1.975 -1.438 5.067" Properties=species:S:1:pos:R:3 pbc="T T T"
Os 0.000 0.000 0.000
O 0.101 1.009 8.212
O 1.139 1.765 5.549
O -1.359 0.201 5.772
O 0.005 3.830 7.334
O -2.493 2.266 7.557
O -1.455 3.021 4.895
Co -0.677 2.015 6.553
Rb -1.015 3.023 9.830
Rb -0.338 1.008 3.277
```

calculated volume	12.59	Å³/atom
symmetry	Fm-3m (225)
E_tot	-5.907	eV per atom
ρ	6.81	Mg/m³